## Sm3Dy4Pu (PBE-GGA)

Data for an optimized crystal structure of Sm3Dy4Pu.

It has space group Immm (No. 71), with a = 3.436 Å, b = 11.602 Å, c = 12.871 Å, α = 90.00°, β = 90.00° and γ = 90.00°. The distinct sites, in fractional coordinates, are Sm at (0.000, 0.000, 0.000), Sm at (0.000, 0.500, 0.236), Dy at (0.000, 0.248, 0.368) and Pu at (0.000, 0.000, 0.500).

As for the electronic total energy: -5.71 eV per atom. Its mass density is 8.7 Mg/m³.

---

## Sm2DyPu (PBE-GGA)

Data for an optimized crystal structure of Sm2DyPu.

It has space group R-3m (No. 166, hexagonal axes), with a = 3.4809 Å, b = 3.4809 Å, c = 37.0398 Å, α = 90.00°, β = 90.00° and γ = 120.00°. The distinct sites, in fractional coordinates, are Sm at (0.0000, 0.0000, 0.0884), Dy at (0.0000, 0.0000, 0.5000) and Pu at (0.0000, 0.0000, 0.0000).

The calculation puts the energy above the most stable polymorph in this dataset at 0.153 eV/atom. As for the electronic total energy: -6.83 eV per atom. Its mass density is 9.1 Mg/m³.

---

## SmDy14Pu (PBE-GGA)

Data for an optimized crystal structure of SmDy14Pu.

It has space group Amm2 (No. 38), with a = 11.264 Å, b = 7.217 Å, c = 12.488 Å, α = 90.00°, β = 90.00° and γ = 90.00°. The distinct sites, in fractional coordinates, are Sm at (0.000, 0.000, 0.000), Dy at (0.000, 0.250, 0.249), Dy at (0.248, 0.000, 0.334), Dy at (0.249, 0.247, 0.582), Dy at (0.253, 0.000, 0.833), Dy at (0.500, 0.000, 0.000), Dy at (0.500, 0.000, 0.500), Dy at (0.500, 0.250, 0.249) and Pu at (0.000, 0.000, 0.500).

As for the electronic total energy: -5.19 eV per atom. Its mass density is 8.7 Mg/m³.

---

## Sm6Dy4Pu (PBE-GGA)

Data for an optimized crystal structure of Sm6Dy4Pu.

It has space group Cmcm (No. 63), with a = 3.556 Å, b = 23.328 Å, c = 17.539 Å, α = 90.00°, β = 90.00° and γ = 90.00°. The distinct sites, in fractional coordinates, are Sm at (0.000, 0.000, 0.000), Sm at (0.000, 0.250, 0.250), Sm at (0.000, 0.258, 0.583), Sm at (0.000, 0.488, 0.162), Dy at (0.000, 0.118, 0.140), Dy at (0.000, 0.371, 0.047) and Pu at (0.000, 0.126, 0.750).

As for the electronic total energy: -5.38 eV per atom. Its mass density is 8.2 Mg/m³.

---

## Sm10Dy4Pu (PBE-GGA)

Data for an optimized crystal structure of Sm10Dy4Pu.

It has space group I4/m (No. 87), with a = 9.782 Å, b = 9.782 Å, c = 10.551 Å, α = 90.00°, β = 90.00° and γ = 90.00°. The distinct sites, in fractional coordinates, are Sm at (0.000, 0.500, 0.250), Sm at (0.115, 0.211, 0.159), Dy at (0.060, 0.326, 0.500) and Pu at (0.000, 0.000, 0.500).

As for the electronic total energy: -4.97 eV per atom. Its mass density is 7.9 Mg/m³.

---

## Sm2DyPu (PBE-GGA)

Data for an optimized crystal structure of Sm2DyPu.

It has space group P4/mmm (No. 123), with a = 5.018 Å, b = 5.018 Å, c = 5.015 Å, α = 90.00°, β = 90.00° and γ = 90.00°. The distinct sites, in fractional coordinates, are Sm at (0.000, 0.500, 0.000), Dy at (0.000, 0.000, 0.500) and Pu at (0.500, 0.500, 0.500).

The calculation puts the energy above the most stable polymorph in this dataset at 0.038 eV/atom. As for the electronic total energy: -6.95 eV per atom. Its mass density is 9.3 Mg/m³.

---

In the order shown, the computed energy relative to the elements values come out to 0.151 0.261 0.031 0.173 0.359 0.147 eV/atom.